Arrangement A

{"formula": "KNa2Ir", "functional": "GGA-PBE", "state": "relaxed", "mass_density_g_cm3": 4.74, "sg": "No. 225", "cell": [[7.296, 0.000, 0.000], [0.000, 7.296, 0.000], [0.000, 0.000, 7.296]], "species": ["K", "K", "K", "K", "Na", "Na", "Na", "Na", "Na", "Na", "Na", "Na", "Ir", "Ir", "Ir", "Ir"], "fractional_positions": [[0.000, 0.000, 0.000], [0.000, 0.500, 0.500], [0.500, 0.000, 0.500], [0.500, 0.500, 0.000], [0.250, 0.250, 0.250], [0.250, 0.250, 0.750], [0.250, 0.750, 0.250], [0.250, 0.750, 0.750], [0.750, 0.250, 0.250], [0.750, 0.250, 0.750], [0.750, 0.750, 0.250], [0.750, 0.750, 0.750], [0.000, 0.000, 0.500], [0.000, 0.500, 0.000], [0.500, 0.000, 0.000], [0.500, 0.500, 0.500]]}

=====

Arrangement B

{"formula": "KNa2Ir", "functional": "GGA-PBE", "state": "relaxed", "mass_density_g_cm3": 3.93, "sg": "No. 122", "cell": [[4.758, 0.000, 0.000], [0.000, 4.758, 0.000], [0.000, 0.000, 20.693]], "species": ["K", "K", "K", "K", "Na", "Na", "Na", "Na", "Na", "Na", "Na", "Na", "Ir", "Ir", "Ir", "Ir"], "fractional_positions": [[0.000, 0.000, 0.000], [0.000, 0.500, 0.250], [0.500, 0.000, 0.750], [0.500, 0.500, 0.500], [0.189, 0.250, 0.625], [0.250, 0.689, 0.875], [0.250, 0.811, 0.375], [0.311, 0.250, 0.125], [0.689, 0.750, 0.125], [0.750, 0.189, 0.375], [0.750, 0.311, 0.875], [0.811, 0.750, 0.625], [0.000, 0.000, 0.500], [0.000, 0.500, 0.750], [0.500, 0.000, 0.250], [0.500, 0.500, 0.000]]}

=====

Most stable pick: arrangement A. Distance to second place: 0.211 eV/atom.

=====

Arrangement A

{"formula": "KNaIrSe2", "functional": "GGA-PBE", "state": "relaxed", "mass_density_g_cm3": 5.14, "sg": "No. 123", "cell": [[5.009, 0.000, 0.000], [0.000, 5.009, 0.000], [0.000, 0.000, 5.308]], "species": ["K", "Na", "Ir", "Se", "Se"], "fractional_positions": [[0.000, 0.000, 0.000], [0.500, 0.500, 0.000], [0.500, 0.500, 0.500], [0.000, 0.500, 0.500], [0.500, 0.000, 0.500]]}

=====

Arrangement B

{"formula": "KNaIrSe2", "functional": "GGA-PBE", "state": "relaxed", "mass_density_g_cm3": 4.84, "sg": "No. 123", "cell": [[5.277, 0.000, 0.000], [0.000, 5.277, 0.000], [0.000, 0.000, 5.076]], "species": ["K", "Na", "Ir", "Se", "Se"], "fractional_positions": [[0.000, 0.000, 0.000], [0.500, 0.500, 0.500], [0.500, 0.500, 0.000], [0.000, 0.500, 0.500], [0.500, 0.000, 0.500]]}

=====

Most stable pick: arrangement A. Distance to second place: 1.027 eV/atom.

=====

Arrangement A

{"formula": "KNbIr3", "functional": "GGA-PBE", "state": "relaxed", "mass_density_g_cm3": 12.07, "sg": "No. 221", "cell": [[4.603, 0.000, 0.000], [0.000, 4.603, 0.000], [0.000, 0.000, 4.603]], "species": ["K", "Nb", "Ir", "Ir", "Ir"], "fractional_positions": [[0.000, 0.000, 0.000], [0.500, 0.500, 0.500], [0.000, 0.000, 0.500], [0.000, 0.500, 0.000], [0.500, 0.000, 0.000]]}

=====

Arrangement B

{"formula": "KNbIr3", "functional": "GGA-PBE", "state": "relaxed", "mass_density_g_cm3": 10.07, "sg": "No. 221", "cell": [[4.889, 0.000, 0.000], [0.000, 4.889, 0.000], [0.000, 0.000, 4.889]], "species": ["K", "Nb", "Ir", "Ir", "Ir"], "fractional_positions": [[0.000, 0.000, 0.000], [0.500, 0.500, 0.500], [0.000, 0.500, 0.500], [0.500, 0.000, 0.500], [0.500, 0.500, 0.000]]}

=====

Most stable pick: arrangement B. Distance to second place: 1.701 eV/atom.

=====

Arrangement A

{"formula": "KNi3Ir", "functional": "GGA-PBE", "state": "relaxed", "mass_density_g_cm3": 8.42, "sg": "No. 221", "cell": [[4.315, 0.000, 0.000], [0.000, 4.315, 0.000], [0.000, 0.000, 4.315]], "species": ["K", "Ni", "Ni", "Ni", "Ir"], "fractional_positions": [[0.000, 0.000, 0.000], [0.000, 0.000, 0.500], [0.000, 0.500, 0.000], [0.500, 0.000, 0.000], [0.500, 0.500, 0.500]]}

=====

Arrangement B

{"formula": "KNi3Ir", "functional": "GGA-PBE", "state": "relaxed", "mass_density_g_cm3": 6.51, "sg": "No. 221", "cell": [[4.700, 0.000, 0.000], [0.000, 4.700, 0.000], [0.000, 0.000, 4.700]], "species": ["K", "Ni", "Ni", "Ni", "Ir"], "fractional_positions": [[0.000, 0.000, 0.000], [0.000, 0.500, 0.500], [0.500, 0.000, 0.500], [0.500, 0.500, 0.000], [0.500, 0.500, 0.500]]}

=====

Most stable pick: arrangement B. Distance to second place: 1.434 eV/atom.